Record 1
## HfTiMo (GGA-PBE)

Data for HfTiMo after structural relaxation.

Summary:
calculated total energy: -9.61 eV per atom
space-group type: No. 107
offset from the most stable computed form: 14 meV per atom
mass density: 9.820 g/cm3
total magnetic moment: 0.00 μB per cell

POSCAR file:
```
HfTiMo
1.0
-1.649 1.649 5.011
1.649 -1.649 5.011
1.649 1.649 -5.011
Hf Ti Mo
1 1 1
direct
0.000 0.000 0.000
0.301 0.301 0.000
0.668 0.668 0.000
```

=====

Record 2
## HfTi2Mo (GGA-PBE)

Data for HfTi2Mo after structural relaxation.

Summary:
calculated total energy: -9.05 eV per atom
space-group type: No. 123
offset from the most stable computed form: 159 meV per atom
mass density: 8.760 g/cm3
total magnetic moment: 0.00 μB per cell

POSCAR file:
```
HfTi2Mo
1.0
4.589 0.000 0.000
0.000 4.589 0.000
0.000 0.000 3.333
Hf Ti Mo
1 2 1
direct
0.000 0.000 0.000
0.000 0.500 0.500
0.500 0.000 0.500
0.500 0.500 0.000
```

=====

Record 3
## HfTi2Mo (GGA-PBE)

Data for HfTi2Mo after structural relaxation.

Summary:
calculated total energy: -9.04 eV per atom
space-group type: No. 63
offset from the most stable computed form: 179 meV per atom
mass density: 8.400 g/cm3
total magnetic moment: 0.00 μB per cell

POSCAR file:
```
HfTi2Mo
1.0
1.563 -9.844 0.000
1.563 9.844 0.000
0.000 0.000 4.756
Hf Ti Mo
2 4 2
direct
0.103 0.897 0.750
0.897 0.103 0.250
0.260 0.740 0.250
0.467 0.533 0.750
0.533 0.467 0.250
0.740 0.260 0.750
0.345 0.655 0.750
0.655 0.345 0.250
```

=====

Record 4
## HfTi2Mo (GGA-PBE)

Data for HfTi2Mo after structural relaxation.

Summary:
calculated total energy: -9.18 eV per atom
space-group type: No. 123
offset from the most stable computed form: 37 meV per atom
mass density: 8.621 g/cm3
total magnetic moment: 0.00 μB per cell

POSCAR file:
```
HfTi2Mo
1.0
3.243 0.000 0.000
0.000 3.243 0.000
0.000 0.000 6.781
Hf Ti Mo
1 2 1
direct
0.000 0.000 0.000
0.500 0.500 0.287
0.500 0.500 0.713
0.000 0.000 0.500
```

=====

In eV per atom, the formation energy from the elements values for the records above are, in order, -0.05; 0.09; 0.11; -0.03.